1.
{
  "formula": "NaInF2",
  "functional": "GGA-PBE",
  "state": "optimized geometry",
  "lattice_angstrom": [[-1.382, -0.040, -3.024], [4.528, -3.314, -2.026], [-4.409, -4.403, 3.898]],
  "species": ["Na", "Na", "In", "In", "F", "F", "F", "F"],
  "fractional_positions": [[0.543, 0.919, 0.571], [0.042, 0.419, 0.571], [0.042, 0.919, 0.071], [0.043, 0.419, 0.071], [0.150, 0.816, 0.760], [0.936, 0.021, 0.382], [0.461, 0.521, 0.382], [0.624, 0.316, 0.760]],
  "spacegroup": "C2/c",
  "polymorph_energy_mev_per_atom": 34,
  "e_form_raw_ev_per_atom": -2.107,
  "n_ef_per_ev_fu": 0.80
}

2.
{
  "formula": "Na4In2F",
  "functional": "GGA-PBE",
  "state": "optimized geometry",
  "lattice_angstrom": [[4.522, 0.000, 0.000], [0.000, 4.522, 0.000], [-2.261, -2.261, 8.887]],
  "species": ["Na", "Na", "Na", "Na", "F", "In", "In"],
  "fractional_positions": [[0.864, 0.864, 0.728], [0.136, 0.136, 0.272], [0.000, 0.500, 0.000], [0.500, 0.000, 0.000], [0.000, 0.000, 0.000], [0.692, 0.692, 0.383], [0.308, 0.308, 0.617]],
  "spacegroup": "I4/mmm",
  "e_form_raw_ev_per_atom": -0.678,
  "n_ef_per_ev_fu": 1.67
}